The following is a DFT calculation (PBE-GGA) of a geometry-optimized GdLuIr2 structure.

Structure (POSCAR):
```
GdLuIr2
1.0
-0.1616 -0.1156 -3.3082
2.1457 -2.5257 -0.0165
-5.4592 -4.6405 0.4287
Gd Ir Lu
1 2 1
direct
0.5000 0.5000 0.5000
0.0000 0.0000 0.7611
0.0000 0.0000 0.2389
0.5000 0.5000 0.0000
```

Values from the calculation:
- SG = P4/mmm (123)
- volume (A^3/atom) = 19.71
- total energy (eV/cell) = -39.67
- energy of formation (kJ per mole of atoms) = -81

The following is a DFT calculation (PBE-GGA) of a geometry-optimized KSi2Pd3 structure.

Structure (POSCAR):
```
KSi2Pd3
1.0
-3.0463 0.4042 -2.6693
-2.0506 -7.6832 4.2802
-4.3162 7.1497 6.0085
K Si Pd
3 6 9
direct
0.1423 0.2846 0.7294
0.8577 0.7154 0.2706
0.0000 0.0000 0.0000
0.1964 0.3928 0.1317
0.8036 0.6072 0.8683
0.5141 0.0281 0.2685
0.4859 0.9719 0.7315
0.3526 0.7051 0.5367
0.6474 0.2949 0.4633
0.0644 0.1288 0.3738
0.9356 0.8712 0.6262
0.2259 0.4517 0.3967
0.7741 0.5483 0.6033
0.6419 0.2838 0.2246
0.3581 0.7162 0.7754
0.5000 0.0000 0.5000
0.3014 0.6029 0.9985
0.6986 0.3971 0.0015
```

Values from the calculation:
- SG = C2/m (12)
- volume (A^3/atom) = 19.95
- total energy (eV/cell) = -89.94
- uncorrected formation energy (meV per atom) = -409

The following is a DFT calculation (PBE-GGA) of a geometry-optimized Li5Mg6Ga structure.

Structure (POSCAR):
```
Li5Mg6Ga
1.0
4.5510 -0.0084 -1.2786
-3.4085 6.7591 -3.4092
-0.1457 -0.8801 8.2541
Mg Ga Li
6 1 5
direct
0.2495 0.0835 0.4153
0.7505 0.5847 0.9165
0.7466 0.2471 0.2471
0.2534 0.7529 0.7529
0.2495 0.4153 0.0835
0.7505 0.9165 0.5847
0.0000 0.0000 0.0000
0.5000 0.1671 0.8329
0.0000 0.3342 0.6658
0.5000 0.5000 0.5000
0.0000 0.6658 0.3342
0.5000 0.8329 0.1671
```

Values from the calculation:
- SG = C2/m (12)
- volume (A^3/atom) = 19.58
- total energy (eV/cell) = -23.32
- energy of formation (kJ per mole of atoms) = -9

The following is a DFT calculation (PBE-GGA) of a geometry-optimized Ce2TmCuC structure.

Structure (POSCAR):
```
Ce2TmCuC
1.0
4.8769 0.0000 0.0000
0.0000 4.8770 0.0000
0.0000 0.0002 4.7789
Ce Tm Cu C
2 1 1 1
direct
0.0000 0.5000 0.0001
0.5000 0.0000 0.0002
0.0000 0.0000 0.5000
0.5000 0.5000 0.4997
0.0000 0.0000 0.0000
```

Values from the calculation:
- SG = P4/mmm (123)
- volume (A^3/atom) = 22.73
- total energy (eV/cell) = -29.65
- energy of formation (kJ per mole of atoms) = 0

The following is a DFT calculation (PBE-GGA) of a geometry-optimized Th3TcBi structure.

Structure (POSCAR):
```
Th3TcBi
1.0
-4.4210 -0.2467 -0.4549
1.0083 -5.2959 -6.9276
-0.2736 -12.1553 9.2524
Th Tc Bi
12 4 4
direct
0.2500 0.3511 0.5032
0.7500 0.8093 0.2177
0.7500 0.5269 0.8966
0.7500 0.0269 0.6034
0.7500 0.6489 0.4968
0.2500 0.9731 0.3966
0.2500 0.8511 0.9968
0.7500 0.3093 0.2823
0.2500 0.6907 0.7177
0.2500 0.1907 0.7823
0.7500 0.1489 0.0032
0.2500 0.4731 0.1034
0.2500 0.3204 0.9362
0.2500 0.8204 0.5638
0.7500 0.1796 0.4362
0.7500 0.6796 0.0638
0.7500 0.9110 0.8236
0.2500 0.0890 0.1764
0.7500 0.4110 0.6764
0.2500 0.5890 0.3236
```

Values from the calculation:
- SG = Pnma (62)
- volume (A^3/atom) = 29.85
- total energy (eV/cell) = -152.55
- energy of formation (kJ per mole of atoms) = -31

The following is a DFT calculation (PBE-GGA) of a geometry-optimized AcLa3Rh8 structure.

Structure (POSCAR):
```
AcLa3Rh8
1.0
5.2347 0.0000 1.5802
2.3788 4.6629 1.5802
-0.0097 -0.0059 9.4924
Ac La Rh
1 3 8
direct
0.8755 0.8755 0.3736
0.3744 0.3744 0.8768
0.0015 0.0015 0.9954
0.4983 0.4983 0.5051
0.9382 0.4384 0.1849
0.4361 0.9371 0.6897
0.4384 0.4384 0.1849
0.9371 0.9371 0.6897
0.1873 0.1873 0.4380
0.6876 0.6876 0.9373
0.4384 0.9382 0.1849
0.9371 0.4361 0.6897
```

Values from the calculation:
- SG = R3m (160)
- volume (A^3/atom) = 19.32
- total energy (eV/cell) = -85.74
- energy of formation (kJ per mole of atoms) = -65

The following is a DFT calculation (PBE-GGA) of a geometry-optimized CaSe2Br structure.

Structure (POSCAR):
```
CaSe2Br
1.0
-1.6208 4.0145 -3.0147
-0.4029 -4.3321 -2.9578
-4.9870 -0.1992 -1.6271
Ca Se Br
1 2 1
direct
0.5000 0.5000 0.0000
0.0000 0.0000 0.0000
0.5000 0.0000 0.5000
0.0000 0.5000 0.5000
```

Values from the calculation:
- SG = C2/m (12)
- volume (A^3/atom) = 27.75
- total energy (eV/cell) = -13.89
- uncorrected formation energy (meV per atom) = -812

The following is a DFT calculation (PBE-GGA) of a geometry-optimized CeGaP2Rh5 structure.

Structure (POSCAR):
```
CeGaP2Rh5
1.0
4.0282 0.0000 0.0000
0.0000 4.0282 0.0000
0.0000 0.0000 8.4850
Ce Ga P Rh
1 1 2 5
direct
0.0000 0.0000 0.0000
0.0000 0.0000 0.5000
0.5000 0.5000 0.1376
0.5000 0.5000 0.8624
0.0000 0.5000 0.2764
0.5000 0.0000 0.2764
0.0000 0.5000 0.7236
0.5000 0.0000 0.7236
0.5000 0.5000 0.5000
```

Values from the calculation:
- SG = P4/mmm (123)
- volume (A^3/atom) = 15.30
- total energy (eV/cell) = -64.12
- energy of formation (kJ per mole of atoms) = -81

The following is a DFT calculation (PBE-GGA) of a geometry-optimized MoPd2SeCl structure.

Structure (POSCAR):
```
MoPd2SeCl
1.0
-0.9411 -4.1769 2.5295
2.4898 -2.3059 -2.8813
4.0137 0.8056 2.8235
Mo Se Pd Cl
1 1 2 1
direct
0.0000 0.0000 0.0000
0.5000 0.5000 0.5000
0.0000 0.0000 0.5000
0.5000 0.0000 0.0000
0.0000 0.5000 0.0000
```

Values from the calculation:
- SG = P4/mmm (123)
- volume (A^3/atom) = 22.02
- total energy (eV/cell) = -22.70
- uncorrected formation energy (meV per atom) = 770

The following is a DFT calculation (PBE-GGA) of a geometry-optimized LiSmAg structure.

Structure (POSCAR):
```
LiSmAg
1.0
-3.2365 -1.4445 -0.7097
0.9367 -2.9908 1.8156
-4.7262 7.1582 6.9832
Li Sm Ag
2 2 2
direct
0.2500 0.3196 0.0700
0.7500 0.6804 0.9300
0.7500 0.3724 0.6217
0.2500 0.6276 0.3783
0.2500 0.0515 0.8009
0.7500 0.9485 0.1991
```

Values from the calculation:
- SG = P2_1/m (11)
- volume (A^3/atom) = 22.80
- total energy (eV/cell) = -19.93
- energy of formation (kJ per mole of atoms) = -16

The following is a DFT calculation (PBE-GGA) of a geometry-optimized As2WBr structure.

Structure (POSCAR):
```
As2WBr
1.0
3.2116 0.0000 0.0000
0.0000 3.2109 0.0000
0.0000 0.0000 8.0157
As Br W
2 1 1
direct
0.0000 0.0000 0.9286
0.0000 0.0000 0.5714
0.5000 0.5000 0.2500
0.5000 0.5000 0.7500
```

Values from the calculation:
- SG = P4/mmm (123)
- volume (A^3/atom) = 20.66
- total energy (eV/cell) = -23.09
- uncorrected formation energy (meV per atom) = 208

The following is a DFT calculation (PBE-GGA) of a geometry-optimized LaTb6Y4 structure.

Structure (POSCAR):
```
LaTb6Y4
1.0
-4.4982 -3.6257 -0.1645
4.3442 -0.6214 -3.5550
11.7781 -15.3871 17.0825
La Tb Y
2 12 8
direct
0.8042 0.6084 0.2500
0.1958 0.3916 0.7500
0.5000 0.0000 0.0000
0.5000 0.0000 0.5000
0.1351 0.2702 0.3195
0.8649 0.7298 0.6805
0.8649 0.7298 0.8195
0.1351 0.2702 0.1805
0.8056 0.6112 0.3994
0.1944 0.3888 0.6006
0.1944 0.3888 0.8994
0.8056 0.6112 0.1006
0.4687 0.9374 0.2500
0.5313 0.0626 0.7500
0.8454 0.6907 0.5422
0.4653 0.9306 0.1219
0.1546 0.3093 0.4578
0.5347 0.0694 0.8781
0.8454 0.6907 0.9578
0.1546 0.3093 0.0422
0.5347 0.0694 0.6219
0.4653 0.9306 0.3781
```

Values from the calculation:
- SG = Cmcm (63)
- volume (A^3/atom) = 32.93
- total energy (eV/cell) = -114.42
- energy of formation (kJ per mole of atoms) = 12

The following is a DFT calculation (PBE-GGA) of a geometry-optimized TmPuSO2 structure.

Structure (POSCAR):
```
TmPuSO2
1.0
-1.7128 1.4780 2.9945
1.5379 -2.6381 2.1818
4.7999 4.1140 -1.6369
Tm Pu S O
1 1 1 2
direct
0.1529 0.1529 0.3059
0.8567 0.8567 0.7135
0.4992 0.4992 0.9985
0.7455 0.2455 0.4911
0.2455 0.7455 0.4911
```

Values from the calculation:
- SG = I4mm (107)
- volume (A^3/atom) = 16.81
- total energy (eV/cell) = -46.78
- uncorrected formation energy (meV per atom) = -2787

The following is a DFT calculation (PBE-GGA) of a geometry-optimized ZrBe3N structure.

Structure (POSCAR):
```
ZrBe3N
1.0
-4.5037 -0.0016 2.0373
2.0060 -0.8665 4.4339
0.3557 4.8666 0.7901
Be Zr N
3 1 1
direct
0.0000 0.5000 0.0000
0.0000 0.0000 0.5000
0.5000 0.0000 0.0000
0.0000 0.0000 0.0000
0.5000 0.5000 0.5000
```

Values from the calculation:
- SG = Pm-3m (221)
- volume (A^3/atom) = 24.16
- total energy (eV/cell) = -13.94
- uncorrected formation energy (meV per atom) = 2823

The following is a DFT calculation (PBE-GGA) of a geometry-optimized CoHg4 structure.

Structure (POSCAR):
```
CoHg4
1.0
-1.9571 1.9571 8.1686
1.9571 -1.9571 8.1686
1.9571 1.9571 -8.1686
Co Hg
1 4
direct
0.0000 0.0000 0.0000
0.7500 0.2500 0.5000
0.4136 0.4136 0.0000
0.5864 0.5864 0.0000
0.2500 0.7500 0.5000
```

Values from the calculation:
- SG = I4/mmm (139)
- volume (A^3/atom) = 25.03
- total energy (eV/cell) = -5.18
- energy of formation (kJ per mole of atoms) = 61

The following is a DFT calculation (PBE-GGA) of a geometry-optimized BaIn2Hg2 structure.

Structure (POSCAR):
```
BaIn2Hg2
1.0
-4.9933 -1.0716 0.3922
1.1380 -4.5474 2.0642
-2.0224 -0.4323 6.5176
In Hg Ba
2 2 1
direct
0.3763 0.3763 0.2475
0.6237 0.6237 0.7525
0.7500 0.2500 0.5000
0.2500 0.7500 0.5000
0.0000 0.0000 0.0000
```

Values from the calculation:
- SG = I4/mmm (139)
- volume (A^3/atom) = 30.43
- total energy (eV/cell) = -9.78
- energy of formation (kJ per mole of atoms) = -34

The following is a DFT calculation (PBE-GGA) of a geometry-optimized PaNbN4 structure.

Structure (POSCAR):
```
PaNbN4
1.0
-4.1926 2.8191 -1.9054
0.8346 -1.9396 -4.7062
-3.2885 -4.1335 1.1204
Pa Nb N
2 2 8
direct
0.0000 0.5000 0.2500
0.5000 0.5000 0.7500
0.0000 0.0000 0.7500
0.5000 0.0000 0.2500
0.2948 0.7560 0.0448
0.2052 0.2440 0.9552
0.2948 0.2440 0.4552
0.2052 0.7560 0.5448
0.7052 0.7560 0.4552
0.7948 0.2440 0.5448
0.7052 0.2440 0.0448
0.7948 0.7560 0.9552
```

Values from the calculation:
- SG = P4/nbm (125)
- volume (A^3/atom) = 12.53
- total energy (eV/cell) = -113.75
- uncorrected formation energy (meV per atom) = -668

The following is a DFT calculation (PBE-GGA) of a geometry-optimized Dy5Al3Au12 structure.

Structure (POSCAR):
```
Dy5Al3Au12
1.0
13.8734 0.0000 0.0000
-4.6245 13.0800 0.0000
-4.6245 -6.5400 11.3276
Al Dy Au
12 20 48
direct
0.7500 0.3750 0.1250
0.8750 0.7500 0.1250
0.3750 0.7500 0.6250
0.2500 0.1250 0.3750
0.8750 0.1250 0.2500
0.3750 0.6250 0.2500
0.6250 0.3750 0.7500
0.1250 0.8750 0.7500
0.7500 0.8750 0.6250
0.6250 0.2500 0.3750
0.1250 0.2500 0.8750
0.2500 0.6250 0.8750
0.1250 0.3750 0.2500
0.0000 0.5000 0.0000
0.0000 0.0000 0.0000
0.3750 0.2500 0.1250
0.5000 0.0000 0.5000
0.5000 0.5000 0.0000
0.1250 0.7500 0.3750
0.7500 0.1250 0.8750
0.7500 0.6250 0.3750
0.3750 0.1250 0.7500
0.6250 0.8750 0.2500
0.5000 0.5000 0.5000
0.5000 0.0000 0.0000
0.0000 0.0000 0.5000
0.2500 0.3750 0.6250
0.2500 0.8750 0.1250
0.0000 0.5000 0.5000
0.8750 0.2500 0.6250
0.6250 0.7500 0.8750
0.8750 0.6250 0.7500
0.7429 0.1359 0.0790
0.3360 0.5790 0.4431
0.9210 0.3641 0.2571
0.5790 0.2429 0.1359
0.6071 0.7429 0.6640
0.9210 0.5569 0.1640
0.3360 0.7571 0.3929
0.0569 0.8929 0.1359
0.5569 0.9210 0.6640
0.7429 0.6071 0.1640
0.7571 0.4210 0.3641
0.8360 0.9431 0.0790
0.1359 0.7429 0.5790
0.3641 0.4431 0.1071
0.1071 0.9431 0.3641
0.3929 0.1359 0.5569
0.1071 0.1640 0.2429
0.4210 0.6640 0.0569
0.8360 0.8929 0.2571
0.1359 0.3929 0.0569
0.3641 0.9210 0.7571
0.5569 0.6359 0.3929
0.9431 0.8360 0.5790
0.7571 0.3360 0.8929
0.4431 0.3641 0.6071
0.0569 0.1640 0.4210
0.2429 0.6640 0.1071
0.1640 0.1071 0.7429
0.6359 0.0790 0.2429
0.8641 0.6071 0.9431
0.5790 0.3360 0.9431
0.6071 0.8641 0.4431
0.8929 0.8360 0.7571
0.8929 0.0569 0.6359
0.8641 0.2571 0.4210
0.1640 0.0569 0.9210
0.6359 0.5569 0.8929
0.4431 0.0790 0.3360
0.2571 0.3929 0.8360
0.2429 0.5790 0.6359
0.9431 0.1071 0.8641
0.6640 0.2429 0.6071
0.4210 0.7571 0.8641
0.0790 0.4431 0.8360
0.3929 0.2571 0.3360
0.0790 0.6359 0.7429
0.6640 0.4210 0.5569
0.2571 0.8641 0.9210
```

Values from the calculation:
- SG = Ia-3d (230)
- volume (A^3/atom) = 25.69
- total energy (eV/cell) = -316.47
- energy of formation (kJ per mole of atoms) = -27

The following is a DFT calculation (PBE-GGA) of a geometry-optimized Pr2BeZn3Ni12 structure.

Structure (POSCAR):
```
Pr2BeZn3Ni12
1.0
-8.0797 -2.8907 2.2138
-4.2061 -3.6328 6.9029
-6.5213 1.9089 5.6892
Pr Be Zn Ni
2 1 3 12
direct
0.6595 0.6595 0.6595
0.3405 0.3405 0.3405
0.0000 0.0000 0.0000
0.5000 0.0000 0.0000
0.0000 0.5000 0.0000
0.0000 0.0000 0.5000
0.4241 0.4241 0.8126
0.9341 0.9341 0.3336
0.3336 0.9341 0.9341
0.8126 0.4241 0.4241
0.9341 0.3336 0.9341
0.4241 0.8126 0.4241
0.5759 0.5759 0.1874
0.0659 0.0659 0.6664
0.6664 0.0659 0.0659
0.1874 0.5759 0.5759
0.0659 0.6664 0.0659
0.5759 0.1874 0.5759
```

Values from the calculation:
- SG = R-3m (166)
- volume (A^3/atom) = 14.68
- total energy (eV/cell) = -85.09
- energy of formation (kJ per mole of atoms) = 7